Cr2HgOs | PBEsol | optimized geometry

Summary:
- SG: P4/mmm (123)
- Theoretical density: 14.85 g/cm3
- Total DFT energy (no corrections): -7.665 eV/atom

Lattice parameters (Å, degrees): 3.8316 3.8316 3.7697 90.00 90.00 90.00
Sites, in units of the cell vectors:
Cr 0.0000 0.5000 0.0000
Cr 0.5000 0.0000 0.0000
Hg 0.0000 0.0000 0.5000
Os 0.5000 0.5000 0.5000